Computed, not measured: a relaxed structure of K2TlOs at the PBE level of DFT.

Results
- polymorph energy (0 for the lowest one) (meV per atom) = 0

a = 20.432 Å, b = 3.190 Å, c = 4.484 Å
α = 90.00°, β = 102.56°, γ = 90.00°
Space group C2/m (No. 12)
Asymmetric unit:
K: 0.147 0.000 0.145 (multiplicity 4)
Tl: 0.000 0.000 0.500 (multiplicity 2)
Os: 0.000 0.500 0.000 (multiplicity 2)

***

Computed, not measured: a relaxed structure of MgB2Pd8 at the PBE level of DFT.

a = 7.223 Å, b = 10.289 Å, c = 4.282 Å
α = 90.00°, β = 104.05°, γ = 90.00°
Space group C2/m (No. 12)
Asymmetric unit:
Mg: 0.000 0.000 0.000 (multiplicity 2)
B: 0.000 0.321 0.500 (multiplicity 4)
Pd: 0.000 0.258 0.000 (multiplicity 4)
Pd: 0.113 0.500 0.796 (multiplicity 4)
Pd: 0.195 0.134 0.587 (multiplicity 8)

***

Computed, not measured: a relaxed structure of Tl2In7Hg3 at the PBE level of DFT.

a = 5.847 Å, b = 3.361 Å, c = 16.855 Å
α = 90.00°, β = 92.96°, γ = 90.00°
Space group P2/m (No. 10)
Asymmetric unit:
Tl: 0.212 0.000 0.335 (multiplicity 2)
In: 0.000 0.500 0.000 (multiplicity 1)
In: 0.159 0.000 0.839 (multiplicity 2)
In: 0.255 0.000 0.529 (multiplicity 2)
In: 0.341 0.500 0.160 (multiplicity 2)
Hg: 0.294 0.500 0.685 (multiplicity 2)
Hg: 0.500 0.000 0.000 (multiplicity 1)

***

Computed, not measured: a relaxed structure of AlZnPt5 at the PBE level of DFT.

Results
- polymorph energy (0 for the lowest one) (meV per atom) = 80

a = 8.694 Å, b = 8.835 Å, c = 6.813 Å
α = 90.00°, β = 120.13°, γ = 90.00°
Space group C2/c (No. 15)
Asymmetric unit:
Al: 0.000 0.205 0.250 (multiplicity 4)
Zn: 0.250 0.250 0.000 (multiplicity 4)
Pt: 0.000 0.068 0.750 (multiplicity 4)
Pt: 0.052 0.359 0.584 (multiplicity 8)
Pt: 0.245 0.408 0.363 (multiplicity 8)

***

Computed, not measured: a relaxed structure of MnBeMo at the PBE level of DFT.

Results
- polymorph energy (0 for the lowest one) (meV per atom) = 742

a = 5.494 Å, b = 5.494 Å, c = 5.494 Å
α = 90.00°, β = 90.00°, γ = 90.00°
Space group F-43m (No. 216)
Asymmetric unit:
Mn: 0.000 0.000 0.000 (multiplicity 4)
Be: 0.250 0.250 0.250 (multiplicity 4)
Mo: 0.250 0.250 0.750 (multiplicity 4)

***

Computed, not measured: a relaxed structure of ScV3Pb at the PBE level of DFT.

Results
- polymorph energy (0 for the lowest one) (meV per atom) = 62

a = 5.088 Å, b = 5.088 Å, c = 5.088 Å
α = 90.00°, β = 90.00°, γ = 90.00°
Space group Pm-3m (No. 221)
Asymmetric unit:
Sc: 0.000 0.000 0.000 (multiplicity 1)
V: 0.000 0.500 0.500 (multiplicity 3)
Pb: 0.500 0.500 0.500 (multiplicity 1)

***

no.,energy of formation (eV per atom)
1,0.703
2,-0.253
3,0.021
4,-0.363
5,0.596
6,1.533